No. 1
A plane-wave DFT calculation with PBE was carried out for crystalline ZrCo2CuHg at its relaxed geometry.

a b c (Å): 4.398 4.684 4.398
angles (deg): 90.00 90.00 90.00
Positions (direct):
Co 0.500 0.000 0.000
Hg 0.500 0.500 0.500
Zr 0.000 0.500 0.000
Co 0.000 0.000 0.500
Cu 0.000 0.000 0.000

Values from the calculation:
As for the calculated formation energy: 4.42 eV per formula unit. For the total energy, the calculation gives -4.5479 eV per atom. As for the space group: P4/mmm.

---

No. 2
A plane-wave DFT calculation with PBE was carried out for crystalline Tl4TeBr2 at its relaxed geometry.

a b c (Å): 8.698 8.698 8.698
angles (deg): 110.27 107.89 110.27
Positions (direct):
Tl 0.475 0.107 0.229
Tl 0.632 0.754 0.525
Tl 0.979 0.607 0.725
Br 0.875 0.108 0.483
Tl 0.122 0.893 0.368
Br 0.517 0.392 0.625
Tl 0.628 0.746 0.021
Br 0.375 0.892 0.767
Br 0.233 0.608 0.125
Tl 0.275 0.254 0.882
Tl 0.771 0.246 0.878
Tl 0.118 0.393 0.372
Te 0.000 0.000 0.000
Te 0.750 0.500 0.250

Values from the calculation:
The calculation puts the uncorrected formation energy at -0.599 eV/atom. For the total energy, the calculation gives -2.8784 eV per atom. As for the space group: I-42d.

---

Question: What is the formula in the first record?
Answer: ZrCo2CuHg